LaNdY2Se4: relaxed, PBE.

Cell and atoms, written as CIF:
```
data_LaNdY2Se4
_cell_length_a 7.175
_cell_length_b 4.116
_cell_length_c 7.379
_cell_angle_alpha 90.00
_cell_angle_beta 108.73
_cell_angle_gamma 90.00
_symmetry_space_group_name_H-M 'P 1 2/m 1'
_symmetry_Int_Tables_number 10
_symmetry_space_group_name_Hall '-P 2y'
loop_
_atom_site_label
_atom_site_type_symbol
_atom_site_fract_x
_atom_site_fract_y
_atom_site_fract_z
La1 La 0.000 0.000 0.000
Nd1 Nd 0.500 0.500 0.000
Y1 Y 0.000 0.500 0.500
Y2 Y 0.500 0.000 0.500
Se1 Se 0.247 0.000 0.735
Se2 Se 0.258 0.500 0.267
```

Summary:
* V: 25.80 Å³ per atom
* total energy: -6.417 eV/atom
* raw formation energy: -1.8473 eV/atom
* theoretical density: 6.25 Mg/m³